4
Lattice="0.0000 3.5858 3.5858 3.5858 0.0000 3.5858 3.5858 3.5858 0.0000" Properties=species:S:1:pos:R:3 comment="NdTmMgRu (PBE, optimized geometry)" volume_a3_per_cell=92.2 delta_e_f_ev_per_atom=-0.139 crystal_system=cubic relative_energy_ev_per_atom=0.095 dft_energy_ev_per_atom=-5.1667 pbc="T T T"
Nd 0.0000 0.0000 0.0000
Tm 3.5858 3.5858 3.5858
Mg 1.7929 1.7929 1.7929
Ru 5.3787 5.3787 5.3787

=====

4
Lattice="0.0000 3.8420 3.8420 3.8420 0.0000 3.8420 3.8420 3.8420 0.0000" Properties=species:S:1:pos:R:3 comment="CeSmDyIn (PBE, optimized geometry)" volume_a3_per_cell=113.4 delta_e_f_ev_per_atom=-0.081 crystal_system=cubic dft_energy_ev_per_atom=-4.5795 pbc="T T T"
Ce 0.0000 0.0000 0.0000
Sm 5.7630 5.7630 5.7630
Dy 1.9210 1.9210 1.9210
In 3.8420 3.8420 3.8420

=====

4
Lattice="2.9672 0.0000 0.0000 0.0000 2.9672 0.0000 0.0000 0.0000 8.0638" Properties=species:S:1:pos:R:3 comment="ScPt2Se (PBE, optimized geometry)" raw_formation_energy_mev_per_atom=-517 volume_a3_per_cell=71.0 crystal_system=tetragonal dft_energy_ev_per_atom=-5.9910 pbc="T T T"
Sc 0.0000 0.0000 0.0000
Pt 1.4836 1.4836 1.8678
Pt 1.4836 1.4836 6.1960
Se 0.0000 0.0000 4.0319

=====

4
Lattice="0.0000 3.7701 3.7701 3.7701 0.0000 3.7701 3.7701 3.7701 0.0000" Properties=species:S:1:pos:R:3 comment="Pr2CdCu (PBE, optimized geometry)" volume_a3_per_cell=107.2 delta_e_f_ev_per_atom=-0.173 crystal_system=cubic relative_energy_ev_per_atom=0.037 dft_energy_ev_per_atom=-3.8151 pbc="T T T"
Pr 1.8850 1.8850 1.8850
Pr 5.6551 5.6551 5.6551
Cd 0.0000 0.0000 0.0000
Cu 3.7701 3.7701 3.7701

=====

16
Lattice="-3.7873 3.7873 7.2961 3.7873 -3.7873 7.2961 3.7873 3.7873 -7.2961" Properties=species:S:1:pos:R:3 comment="Dy5InTc2 (PBE, optimized geometry)" volume_a3_per_cell=418.6 delta_e_f_ev_per_atom=-0.162 crystal_system=tetragonal dft_energy_ev_per_atom=-5.9719 pbc="T T T"
Dy 0.0000 0.0000 0.0000
Dy 5.1079 1.3206 -1.9792
Dy 1.3206 2.4667 -1.9792
Dy 5.1079 1.3206 1.9792
Dy 1.3206 2.4667 1.9792
Dy 0.0000 0.0000 7.2961
Dy 2.4667 1.3206 5.3169
Dy -1.3206 2.4667 5.3169
Dy 2.4667 1.3206 9.2754
Dy -1.3206 2.4667 9.2754
In 0.0000 0.0000 3.6481
In 0.0000 0.0000 10.9442
Tc 2.9085 0.8787 0.0000
Tc 2.9085 -0.8787 7.2961
Tc 0.8787 4.6660 0.0000
Tc 0.8787 2.9085 7.2961

=====

8
Lattice="7.7895 0.0000 0.0000 0.0000 4.5052 0.0000 -2.6002 0.0000 7.3533" Properties=species:S:1:pos:R:3 comment="Nd2PuThSb4 (PBE, optimized geometry)" raw_formation_energy_mev_per_atom=-996 volume_a3_per_cell=258.1 crystal_system=monoclinic dft_energy_ev_per_atom=-6.9683 pbc="T T T"
Nd 0.0000 0.0000 0.0000
Nd 3.8948 2.2526 0.0000
Pu -1.3001 2.2526 3.6767
Th 2.5947 0.0000 3.6767
Sb -0.0180 0.0000 5.4770
Sb 1.2845 2.2526 1.8590
Sb 3.9048 2.2526 5.4943
Sb 5.2073 0.0000 1.8763